Below is Tl4Te2Se after structural relaxation, with properties calculated at the PBE-GGA level.

## Properties
V: 36.4 Å³ per atom
crystal system: monoclinic
energy: -2.98 eV per atom

Unit cell a=7.6297 b=7.6297 c=8.1059 alpha=112.50 beta=112.50 gamma=36.15
Last column: nearest neighbours and their distance in Å.
Sites, in units of the cell vectors:
1 Tl 0.1141 0.1141 0.3854  1 Se 2.89, 2 Te 3.06
2 Tl 0.3416 0.3416 0.9503  2 Se 3.21, 1 Te 3.32
3 Tl 0.6584 0.6584 0.0497  2 Se 3.21, 1 Te 3.32
4 Tl 0.8859 0.8859 0.6146  1 Se 2.89, 2 Te 3.06
5 Te 0.3331 0.3331 0.3534  4 Tl 3.06-3.32
6 Te 0.6669 0.6669 0.6466  4 Tl 3.06-3.32
7 Se 0.0000 0.0000 0.0000  6 Tl 2.89-3.21